A crystal of Zn2CuPt relaxed with PBEsol, computed with meta-GGA SCAN.

Cell lengths 2.7387, 3.7327, 5.2435 Å; angles 90.00, 90.00, 90.00 degrees
With the nearest neighbours (Å) after each atom.
Sites, in units of the cell vectors:
Cu (0.0000, 0.0000, 0.4874)  6 Zn 2.59-2.64, 4 Pt 2.71, 2 Cu 2.74
Pt (0.5000, 0.5000, 0.7574)  6 Zn 2.58-2.66, 4 Cu 2.71, 2 Pt 2.74
Zn (0.0000, 0.0000, 0.9907)  2 Cu 2.60-2.64, 4 Pt 2.62, 6 Zn 2.72-2.74
Zn (0.5000, 0.5000, 0.2645)  2 Pt 2.58-2.66, 4 Cu 2.59, 6 Zn 2.72-2.74

Summary:
N(E_F) in states/eV/f.u.: 1.1
Total magnetic moment in μB/cell: 0.00
E_tot in eV per cell: -113.6
Formation energy from the elements in kJ/mol of atoms: -29

=====

A crystal of Tc2IrOs relaxed with PBEsol, computed with meta-GGA SCAN.

Cell lengths 2.7010, 4.6693, 4.6972 Å; angles 99.62, 106.71, 90.00 degrees
With the nearest neighbours (Å) after each atom.
Sites, in units of the cell vectors:
Ir (0.5000, 0.0000, 0.0000)  4 Os 2.70, 2 Ir 2.70, 6 Tc 2.71-2.72
Tc (0.2513, 0.2542, 0.5026)  6 Tc 2.67-2.73, 3 Os 2.69-2.71, 3 Ir 2.71-2.72
Tc (0.7487, 0.7458, 0.4974)  6 Tc 2.67-2.73, 3 Os 2.69-2.71, 3 Ir 2.71-2.72
Os (0.0000, 0.5000, 0.0000)  6 Tc 2.69-2.71, 4 Ir 2.70, 2 Os 2.70

Summary:
N(E_F) in states/eV/f.u.: 4.3
Offset from the most stable computed form in meV per atom: 206
Total magnetic moment in μB/cell: 0.00
E_tot in eV per cell: -213.3
Formation energy from the elements in kJ/mol of atoms: -6

=====

A crystal of EuMg2As2 relaxed with PBEsol, computed with meta-GGA SCAN.

Cell lengths 4.3678, 4.3678, 7.1121 Å; angles 90.00, 90.00, 120.00 degrees
With the nearest neighbours (Å) after each atom.
Sites, in units of the cell vectors:
Mg (0.6667, 0.3333, 0.3664)  4 As 2.65-2.73
Mg (0.3333, 0.6667, 0.6337)  4 As 2.65-2.73
As (0.3333, 0.6667, 0.2500)  4 Mg 2.65-2.73
As (0.6667, 0.3333, 0.7500)  4 Mg 2.65-2.73
Eu (0.0000, 0.0000, 0.0000)  6 As 3.09

Summary:
N(E_F) in states/eV/f.u.: 8.6
Total magnetic moment in μB/cell: 7.00
E_tot in eV per cell: -109.5
Formation energy from the elements in kJ/mol of atoms: -106

=====

A crystal of K2SbSe relaxed with PBEsol, computed with meta-GGA SCAN.

Cell lengths 5.8163, 7.3351, 7.3351 Å; angles 80.96, 66.64, 66.64 degrees
With the nearest neighbours (Å) after each atom.
Sites, in units of the cell vectors:
Sb (0.0000, 0.0000, 0.0000)  2 Se 2.91
Sb (0.7500, 0.5000, 0.5000)  2 Se 2.91
K (0.3750, 0.4426, 0.0574)  2 Se 3.09, 2 K 3.11
K (0.1824, 0.9426, 0.4426)  2 Se 3.09, 2 K 3.11
K (0.8750, 0.5574, 0.9426)  2 Se 3.09, 2 K 3.11
K (0.5676, 0.0574, 0.5574)  2 Se 3.09, 2 K 3.11
Se (0.2500, 0.5000, 0.5000)  2 Sb 2.91, 4 K 3.09
Se (0.5000, 0.0000, 0.0000)  2 Sb 2.91, 4 K 3.09

Summary:
Formation energy from raw total energies in eV per atom: -0.50
N(E_F) in states/eV/f.u.: 3.7
Offset from the most stable computed form in meV per atom: 76
Total magnetic moment in μB/cell: 0.01
E_tot in eV per cell: -152.0

=====

A crystal of Sb2W relaxed with PBEsol, computed with meta-GGA SCAN.

Cell lengths 2.9871, 4.9399, 4.9399 Å; angles 120.00, 90.00, 90.00 degrees
With the nearest neighbours (Å) after each atom.
Sites, in units of the cell vectors:
Sb (0.8262, 0.6667, 0.3333)  3 W 2.90, 5 Sb 2.99-3.04
Sb (0.1738, 0.3333, 0.6667)  3 W 2.90, 5 Sb 2.99-3.04
W (0.0000, 0.0000, 0.0000)  6 Sb 2.90, 2 W 2.99

Summary:
Formation energy from raw total energies in eV per atom: 0.91
N(E_F) in states/eV/f.u.: 2.4
Offset from the most stable computed form in meV per atom: 424
Total magnetic moment in μB/cell: 0.00
E_tot in eV per cell: -141.5

=====

A crystal of MnZn2Ag relaxed with PBEsol, computed with meta-GGA SCAN.

Cell lengths 2.7395, 2.7395, 7.3972 Å; angles 90.00, 90.00, 90.00 degrees
With the nearest neighbours (Å) after each atom.
Sites, in units of the cell vectors:
Ag (0.5000, 0.5000, 0.0000)  4 Ag 2.74, 8 Zn 2.78
Zn (0.0000, 0.0000, 0.7314)  4 Mn 2.58, 4 Zn 2.74, 4 Ag 2.78
Zn (0.0000, 0.0000, 0.2686)  4 Mn 2.58, 4 Zn 2.74, 4 Ag 2.78
Mn (0.5000, 0.5000, 0.5000)  8 Zn 2.58, 4 Mn 2.74

Summary:
N(E_F) in states/eV/f.u.: 1.8
Total magnetic moment in μB/cell: 3.01
E_tot in eV per cell: -77.0
Formation energy from the elements in kJ/mol of atoms: -8